Record 1
A plane-wave DFT calculation with GGA-PBE was carried out for crystalline SmHo3Zr2N6 at its relaxed geometry.

Unit cell a=3.3943 b=6.8207 c=7.5938 alpha=102.90 beta=102.91 gamma=90.00
Fractional positions:
N1 0.3291 0.4243 0.6581
N2 0.6708 0.0991 0.3416
N3 0.3292 0.9009 0.6584
N4 0.0076 0.2622 0.0151
N5 0.6709 0.5757 0.3419
N6 0.9924 0.7378 0.9849
Ho1 0.5000 0.5000 0.0000
Ho2 0.8326 0.1677 0.6652
Ho3 0.1674 0.8323 0.3348
Sm1 0.5000 0.0000 0.0000
Zr1 0.8323 0.6641 0.6647
Zr2 0.1677 0.3359 0.3353

Output
The total moment comes out at 0.00 μB/f.u. Its symmetry is C2/m (12). The raw formation energy is -163.15 kJ/mol of atoms.


Record 2
A plane-wave DFT calculation with GGA-PBE was carried out for crystalline Ho2SnN at its relaxed geometry.

Unit cell a=3.1325 b=3.1325 c=7.7289 alpha=90.00 beta=90.00 gamma=90.00
Fractional positions:
Ho1 0.0000 0.0000 0.1851
Ho2 0.0000 0.0000 0.8149
Sn1 0.5000 0.5000 0.5000
N1 0.5000 0.5000 0.0000

Output
The total moment comes out at 0.00 μB/f.u. Its symmetry is P4/mmm (123). The raw formation energy is -57.97 kJ/mol of atoms.


Record 3
A plane-wave DFT calculation with GGA-PBE was carried out for crystalline Ho2SnN at its relaxed geometry.

Unit cell a=3.5182 b=3.5182 c=7.9369 alpha=77.19 beta=77.19 gamma=60.00
Fractional positions:
Ho1 0.2765 0.2765 0.1704
Ho2 0.7235 0.7235 0.8296
Sn1 0.5000 0.5000 0.5000
N1 0.0000 0.0000 0.0000

Output
The total moment comes out at 0.00 μB/f.u. Its symmetry is R-3m (166). The raw formation energy is -114.05 kJ/mol of atoms.


raw formation energy of number 1 (SmHo3Zr2N6)?
-163.15 kJ/mol of atoms